Compound: Pm3Dy3Tm5
Source: Alexandria
Functional: GGA-PBE
Structure: optimized geometry

- DFT total energy: -41.4 eV/cell
- Size of the total moment: 0.0 μB/cell
- Energy of formation from the pure elements: 0.82 eV/atom
- Theoretical density: 6.7 Mg/m³

abc: 9.5953 9.5953 5.4537
angles: 90.00 90.00 120.00
Fractional positions:
Pm1 0.0000 0.6325 0.0000
Pm2 0.3675 0.3675 0.0000
Pm3 0.6325 0.0000 0.0000
Dy1 0.0000 0.4500 0.5000
Dy2 0.4500 0.0000 0.5000
Dy3 0.5500 0.5500 0.5000
Tm1 0.0000 0.2671 0.0000
Tm2 0.2671 0.0000 0.0000
Tm3 0.3333 0.6667 0.0000
Tm4 0.6667 0.3333 0.0000
Tm5 0.7329 0.7329 0.0000

***

Compound: Pm6Dy3Tm2
Source: Alexandria
Functional: GGA-PBE
Structure: optimized geometry

- DFT total energy: -51.1 eV/cell
- Size of the total moment: 0.0 μB/cell
- Energy relative to the lowest polymorph listed for this composition: 0.000 eV per atom
- Energy of formation from the pure elements: 0.02 eV/atom
- Theoretical density: 7.8 Mg/m³

abc: 32.1579 32.1579 32.1579
angles: 6.41 6.41 6.41
Fractional positions:
Pm1 0.0911 0.0911 0.0911
Pm2 0.1823 0.1823 0.1823
Pm3 0.3637 0.3637 0.3637
Pm4 0.6363 0.6363 0.6363
Pm5 0.8177 0.8177 0.8177
Pm6 0.9089 0.9089 0.9089
Dy1 0.0000 0.0000 0.0000
Dy2 0.2726 0.2726 0.2726
Dy3 0.7274 0.7274 0.7274
Tm1 0.4543 0.4543 0.4543
Tm2 0.5457 0.5457 0.5457

***

Compound: Pm5DyTm2
Source: Alexandria
Functional: GGA-PBE
Structure: optimized geometry

- DFT total energy: -70.7 eV/cell
- Size of the total moment: 0.0 μB/cell
- Energy relative to the lowest polymorph listed for this composition: 0.226 eV per atom
- Energy of formation from the pure elements: 0.24 eV/atom
- Theoretical density: 7.5 Mg/m³

abc: 10.2152 10.2152 5.9594
angles: 106.77 106.77 101.26
Fractional positions:
Pm1 0.0429 0.3352 0.9390
Pm2 0.2014 0.7986 0.7500
Pm3 0.2845 0.3927 0.5883
Pm4 0.3352 0.0429 0.4390
Pm5 0.3927 0.2845 0.0883
Pm6 0.6073 0.7155 0.9117
Pm7 0.6648 0.9571 0.5610
Pm8 0.7155 0.6073 0.4117
Pm9 0.7986 0.2014 0.2500
Pm10 0.9571 0.6648 0.0610
Dy1 0.3445 0.6555 0.2500
Dy2 0.6555 0.3445 0.7500
Tm1 0.0000 0.0000 0.0000
Tm2 0.0000 0.0000 0.5000
Tm3 0.0000 0.5000 0.5000
Tm4 0.5000 0.0000 0.0000